## one
An optimized crystal structure of MoHRu. Source: Alexandria via LeMat-Bulk, functional PBE-GGA.

Cell lengths 2.829, 4.856, 4.901 Å; angles 99.36, 106.78, 90.00 degrees
Fractional coordinates of all 6 atoms:
H (0.756, 0.252, 0.513)
Mo (0.113, 0.356, 0.226)
Mo (0.887, 0.644, 0.774)
Ru (0.619, 0.862, 0.237)
Ru (0.381, 0.138, 0.763)
H (0.244, 0.748, 0.487)


## two
An optimized crystal structure of MoHRu. Source: Alexandria via LeMat-Bulk, functional PBE-GGA.

Cell lengths 2.827, 4.921, 5.357 Å; angles 117.49, 105.30, 90.00 degrees
Fractional coordinates of all 6 atoms:
Mo (0.365, 0.435, 0.730)
Ru (0.630, 0.365, 0.260)
H (0.498, 0.914, 0.997)
Mo (0.133, 0.870, 0.266)
Ru (0.868, 0.940, 0.735)
H (0.999, 0.391, 0.998)


Stability ranking, top entry: two; the second entry is 0.048 eV/atom less favorable.